*i*
DFT (PBE) results for a relaxed LiZr2Ag crystal.

Cell lengths 7.7647, 7.7647, 6.1314 Å; angles 50.71, 50.71, 90.00 degrees
Element x y z (fractional)
Ag (0.7500, 0.2500, 0.5000)
Li (0.5000, 0.5000, 0.0000)
Ag (0.0000, 0.0000, 0.0000)
Zr (0.1265, 0.6250, 0.2500)
Li (0.2500, 0.7500, 0.5000)
Zr (0.3750, 0.3765, 0.7500)
Zr (0.8750, 0.8735, 0.7500)
Zr (0.6235, 0.1250, 0.2500)

Summary:
magnetization = 0.000 μB/f.u.
symmetry = I-42d, No. 122

*ii*
DFT (PBE) results for a relaxed LiZr2Ag crystal.

Cell lengths 4.4786, 4.1858, 4.1858 Å; angles 90.00, 90.00, 90.00 degrees
Element x y z (fractional)
Zr (0.0000, 0.0000, 0.0000)
Li (0.5000, 0.0000, 0.5000)
Ag (0.5000, 0.5000, 0.0000)
Zr (0.0000, 0.5000, 0.5000)

Summary:
magnetization = 0.002 μB/f.u.
symmetry = P4/mmm, No. 123

Energetically preferred structure: *ii* | next structure: +255 meV per atom

*i*
DFT (PBE) results for a relaxed Li2ZrAg crystal.

Cell lengths 5.2139, 5.2139, 5.2657 Å; angles 81.46, 81.46, 31.78 degrees
Element x y z (fractional)
Li (0.9892, 0.9892, 0.0241)
Zr (0.7500, 0.7500, 0.7500)
Li (0.5108, 0.5108, 0.4759)
Ag (0.2500, 0.2500, 0.2500)

Summary:
magnetization = 0.000 μB/f.u.
symmetry = C2/m, No. 12

*ii*
DFT (PBE) results for a relaxed Li2ZrAg crystal.

Cell lengths 5.5431, 5.5431, 2.7755 Å; angles 90.00, 90.00, 115.97 degrees
Element x y z (fractional)
Li (0.0000, 0.0000, 0.0000)
Ag (0.0000, 0.5000, 0.5000)
Li (0.5000, 0.5000, 0.0000)
Zr (0.5000, 0.0000, 0.5000)

Summary:
magnetization = 0.001 μB/f.u.
symmetry = Cmmm, No. 65

Energetically preferred structure: *i* | next structure: +158 meV per atom